# HfZrRe2 PBE-GGA relaxed
# Crystal system = cubic
# Energy relative to the elements = -0.092 eV per atom
# Raw total energy = -10.9295 eV per atom
data_HfZrRe2
_space_group_name_H-M_alt 'F -4 3 m'
_space_group_IT_number 216
_space_group_name_Hall 'F -4 2 3'
_cell_length_a 6.529
_cell_length_b 6.529
_cell_length_c 6.529
_cell_angle_alpha 90.00
_cell_angle_beta 90.00
_cell_angle_gamma 90.00
loop_
_atom_site_label
_atom_site_fract_x
_atom_site_fract_y
_atom_site_fract_z
_atom_site_occupancy
Hf1 0.000 0.000 0.000 1
Zr1 0.250 0.250 0.750 1
Re1 0.000 0.000 0.500 1
Re2 0.250 0.250 0.250 1